A plane-wave DFT calculation with PBE was carried out for a relaxed PrGdNi2 crystal.

Cell: 4.0225 4.0225 19.6077 Å, 90.00 90.00 120.00°
Space group R-3m (No. 166, hexagonal axes)
Inequivalent atoms, fractional coordinates:
Pr: 0.0000 0.0000 0.0000 [3 per cell]
Gd: 0.0000 0.0000 0.5000 [3 per cell]
Ni: 0.0000 0.0000 0.2462 [6 per cell]

Calculated values
Calculated total energy = -7.777 eV/atom
Formation enthalpy at 0 K = -0.17 eV/atom